The following is a PBE calculation of an optimized crystal structure of NaSiBi, from the Alexandria database.

Cell: 5.1809 4.9896 8.2037 Å, 107.70 108.41 90.00°
Closest atoms and distances in Å follow each position.
Atoms (fractional coordinates):
1 Si 0.2831 0.5000 0.0000  1 Si 2.25
2 Si 0.7169 0.5000 0.0000  1 Si 2.25
3 Bi 0.1538 0.6538 0.3075  2 Si 2.70
4 Na 0.6176 0.1176 0.2353  4 Si 3.24, 1 Bi 3.37, 1 Na 3.47
5 Na 0.3824 0.8824 0.7647  4 Si 3.24, 1 Bi 3.37, 1 Na 3.47
6 Bi 0.8462 0.3462 0.6925  2 Si 2.70

As for the space-group type: Immm, No. 71. The value obtained for the electronic total energy is -20.43 eV for the cell shown. The total magnetization is 0.0 μB/cell. The energy relative to the elements, uncorrected comes out at 0.1366 eV/atom.

The following is a PBE calculation of an optimized crystal structure of Zn5Cu8Au, from the Alexandria database.

Cell: 6.3403 6.3403 6.3403 Å, 110.68 107.09 110.68°
Closest atoms and distances in Å follow each position.
Atoms (fractional coordinates):
1 Cu 0.1365 0.7373 0.0828  5 Zn 2.38-2.59, 1 Au 2.58, 2 Cu 2.59-2.63
2 Cu 0.0661 0.7332 0.4706  3 Cu 2.57-2.63, 5 Zn 2.58-2.64
3 Zn 0.7870 0.6574 0.7036  8 Cu 2.48-2.64
4 Cu 0.5294 0.5955 0.2626  3 Cu 2.57-2.63, 5 Zn 2.58-2.64
5 Cu 0.7374 0.2668 0.3329  3 Cu 2.57-2.63, 5 Zn 2.58-2.64
6 Zn 0.2964 0.0834 0.9538  8 Cu 2.48-2.64
7 Zn 0.0462 0.3426 0.1297  8 Cu 2.48-2.64
8 Cu 0.3455 0.2627 0.3993  5 Zn 2.38-2.59, 1 Au 2.58, 2 Cu 2.59-2.63
9 Cu 0.6671 0.4045 0.9339  3 Cu 2.57-2.63, 5 Zn 2.58-2.64
10 Zn 0.8703 0.9166 0.2130  8 Cu 2.48-2.64
11 Zn 0.5000 0.0000 0.5000  8 Cu 2.38-2.58
12 Cu 0.9172 0.0537 0.6545  5 Zn 2.38-2.59, 1 Au 2.58, 2 Cu 2.59-2.63
13 Au 0.2500 0.5000 0.7500  4 Cu 2.58
14 Cu 0.6007 0.9463 0.8635  5 Zn 2.38-2.59, 1 Au 2.58, 2 Cu 2.59-2.63

As for the space-group type: I-4, No. 82. The value obtained for the electronic total energy is -41.78 eV for the cell shown. The total magnetization is 0.0 μB/cell. The formation energy comes out at 0.05 eV per atom.

The following is a PBE calculation of an optimized crystal structure of KReSe3, from the Alexandria database.

Cell: 5.0132 5.0132 5.0132 Å, 90.00 90.00 90.00°
Closest atoms and distances in Å follow each position.
Atoms (fractional coordinates):
1 Re 0.0000 0.0000 0.0000  6 Se 2.51
2 Se 0.5000 0.0000 0.0000  2 Re 2.51
3 Se 0.0000 0.0000 0.5000  2 Re 2.51
4 K 0.5000 0.5000 0.5000  12 Se 3.54
5 Se 0.0000 0.5000 0.0000  2 Re 2.51

As for the space-group type: Pm-3m, No. 221. The value obtained for the electronic total energy is -24.46 eV for the cell shown. The total magnetization is 0.0 μB/cell. The energy relative to the elements, uncorrected comes out at -0.0916 eV/atom. The distance to the lowest polymorph of the same formula is 0.326 eV per atom.

The following is a PBE calculation of an optimized crystal structure of RbBaPb2I, from the Alexandria database.

Cell: 6.2747 6.3346 6.2747 Å, 90.00 90.00 90.00°
Closest atoms and distances in Å follow each position.
Atoms (fractional coordinates):
1 Rb 0.0000 0.5000 0.0000  2 I 3.17
2 Pb 0.0000 0.0000 0.5000  2 I 3.14
3 Pb 0.5000 0.0000 0.0000  2 I 3.14
4 Ba 0.5000 0.5000 0.5000  4 Rb 4.44, 8 Pb 4.46
5 I 0.0000 0.0000 0.0000  4 Pb 3.14, 2 Rb 3.17

As for the space-group type: P4/mmm, No. 123. The value obtained for the electronic total energy is -12.10 eV for the cell shown. The total magnetization is 0.0 μB/cell. The energy relative to the elements, uncorrected comes out at -0.0485 eV/atom.